# 1
CuPtI, relaxed, DFT GGA-PBE; SG = P-1 (2); DOS(E_F) = 1.8 states/eV/cell; formation energy from raw total energies = -52 meV per atom
1.0
3.835 0.000 0.000
0.003 4.025 0.000
0.008 1.996 8.957
Cu Pt I
2 2 2
Direct
0.249 0.452 0.097
0.751 0.548 0.903
0.250 0.052 0.896
0.750 0.948 0.104
0.250 0.840 0.321
0.750 0.160 0.679



# 2
Fe2MoCl, relaxed, DFT GGA-PBE; SG = F-43m (216); DOS(E_F) = 4.0 states/eV/cell; formation energy from raw total energies = 761 meV per atom; excess energy over the best structure of this formula in the dataset = 588 meV per atom
1.0
0.000 3.004 3.004
3.004 0.000 3.004
3.004 3.004 0.000
Fe Mo Cl
2 1 1
Direct
0.000 0.000 0.000
0.250 0.250 0.250
0.750 0.750 0.750
0.500 0.500 0.500



# 3
AcTbO3, relaxed, DFT GGA-PBE; SG = Pmmn (59); DOS(E_F) = 0.0 states/eV/cell; formation energy from raw total energies = -3341 meV per atom
1.0
3.598 0.000 0.000
0.000 5.813 0.000
0.000 0.000 7.442
Ac Tb O
2 2 6
Direct
0.250 0.250 0.142
0.750 0.750 0.858
0.250 0.750 0.400
0.750 0.250 0.600
0.250 0.510 0.654
0.250 0.750 0.074
0.250 0.990 0.654
0.750 0.010 0.346
0.750 0.250 0.926
0.750 0.490 0.346



# 4
KLi2In9, relaxed, DFT GGA-PBE; SG = P6/mmm (191); DOS(E_F) = 6.1 states/eV/cell; E_form = -84 meV/atom
1.0
9.975 0.000 0.000
-4.987 8.638 0.000
0.000 0.000 3.664
K Li In
1 2 9
Direct
0.000 0.000 0.000
0.333 0.667 0.000
0.667 0.333 0.000
0.000 0.500 0.000
0.189 0.378 0.500
0.189 0.811 0.500
0.378 0.189 0.500
0.500 0.000 0.000
0.500 0.500 0.000
0.622 0.811 0.500
0.811 0.189 0.500
0.811 0.622 0.500



# 5
Li2Sm3Tl6, relaxed, DFT GGA-PBE; SG = I4/mmm (139); DOS(E_F) = 6.5 states/eV/cell; E_form = -228 meV/atom
1.0
-2.358 2.358 12.983
2.358 -2.358 12.983
2.358 2.358 -12.983
Li Sm Tl
2 3 6
Direct
0.047 0.047 0.000
0.953 0.953 0.000
0.309 0.309 0.000
0.500 0.500 0.000
0.691 0.691 0.000
0.096 0.596 0.500
0.188 0.188 0.000
0.404 0.904 0.500
0.596 0.096 0.500
0.812 0.812 0.000
0.904 0.404 0.500



# 6
Sc2SbTe, relaxed, DFT GGA-PBE; SG = C2/m (12); DOS(E_F) = 2.1 states/eV/cell; formation energy from raw total energies = -1057 meV per atom; excess energy over the best structure of this formula in the dataset = 0 meV per atom
1.0
3.606 -2.081 0.000
3.606 2.081 0.000
-2.395 0.000 6.830
Sc Sb Te
2 1 1
Direct
0.246 0.246 0.238
0.754 0.754 0.762
0.500 0.500 0.000
0.000 0.000 0.500



# 7
RbSIO2, relaxed, DFT GGA-PBE; SG = P4/mmm (123); DOS(E_F) = 5.5 states/eV/cell; formation energy from raw total energies = 968 meV per atom
1.0
4.332 0.000 0.000
0.000 4.332 0.000
0.000 0.000 8.422
Rb S I O
1 1 1 2
Direct
0.000 0.000 0.000
0.500 0.500 0.500
0.000 0.000 0.500
0.000 0.500 0.000
0.500 0.000 0.000



# 8
Nd2GeCl, relaxed, DFT GGA-PBE; SG = Pnma (62); DOS(E_F) = 11.2 states/eV/cell; formation energy from raw total energies = -1258 meV per atom; excess energy over the best structure of this formula in the dataset = 11 meV per atom
1.0
7.526 0.000 0.000
0.000 4.107 0.000
0.000 0.000 14.137
Nd Ge Cl
8 4 4
Direct
0.153 0.250 0.238
0.208 0.750 0.996
0.292 0.250 0.496
0.347 0.750 0.738
0.653 0.250 0.262
0.708 0.750 0.504
0.792 0.250 0.004
0.847 0.750 0.762
0.090 0.250 0.852
0.410 0.750 0.352
0.590 0.250 0.648
0.910 0.750 0.148
0.076 0.750 0.596
0.424 0.250 0.096
0.576 0.750 0.904
0.924 0.250 0.404



# 9
YTm2In4, relaxed, DFT GGA-PBE; SG = I4/mmm (139); DOS(E_F) = 5.3 states/eV/cell; E_form = -320 meV/atom; excess energy over the best structure of this formula in the dataset = 0 meV per atom
1.0
-3.710 3.710 3.625
3.710 -3.710 3.625
3.710 3.710 -3.625
Y Tm In
1 2 4
Direct
0.000 0.000 0.000
0.000 0.500 0.500
0.500 0.000 0.500
0.000 0.000 0.500
0.000 0.500 0.000
0.500 0.000 0.000
0.500 0.500 0.500



# 10
AcNdTlIr, relaxed, DFT GGA-PBE; SG = F-43m (216); DOS(E_F) = 3.9 states/eV/cell; E_form = -289 meV/atom
1.0
0.000 3.823 3.823
3.823 0.000 3.823
3.823 3.823 0.000
Ac Nd Tl Ir
1 1 1 1
Direct
0.000 0.000 0.000
0.500 0.500 0.500
0.250 0.250 0.250
0.750 0.750 0.750



# 11
LiMo3I, relaxed, DFT GGA-PBE; SG = Pm-3m (221); DOS(E_F) = 5.2 states/eV/cell; formation energy from raw total energies = 2037 meV per atom; excess energy over the best structure of this formula in the dataset = 309 meV per atom
1.0
4.911 0.000 0.000
0.000 4.911 0.000
0.000 0.000 4.911
Li Mo I
1 3 1
Direct
0.000 0.000 0.000
0.000 0.500 0.500
0.500 0.000 0.500
0.500 0.500 0.000
0.500 0.500 0.500



# 12
YGa2Sn2, relaxed, DFT GGA-PBE; SG = Cmcm (63); DOS(E_F) = 4.0 states/eV/cell; E_form = -337 meV/atom; excess energy over the best structure of this formula in the dataset = 0 meV per atom
1.0
2.339 -10.561 0.000
2.339 10.561 0.000
0.000 0.000 4.660
Y Ga Sn
2 4 4
Direct
0.134 0.866 0.750
0.866 0.134 0.250
0.031 0.969 0.250
0.463 0.537 0.250
0.537 0.463 0.750
0.969 0.031 0.750
0.249 0.751 0.250
0.374 0.626 0.750
0.626 0.374 0.250
0.751 0.249 0.750